A plane-wave DFT calculation with PBE+U was carried out for crystalline EuCoF2 at its relaxed geometry.

Summary:
Symmetry = R-3m (166)
Raw total energy = -26.90 eV/f.u.
Magnetization = 1.165 μB per atom

Unit cell a=6.0829 b=6.0829 c=6.0829 alpha=37.69 beta=37.69 gamma=37.69
Positions (direct):
Eu1 0.0000 0.0000 0.0000
Co1 0.5000 0.5000 0.5000
F1 0.2843 0.2843 0.2843
F2 0.7157 0.7157 0.7157